A plane-wave DFT calculation with PBE was carried out for a relaxed CuGe2H crystal.

Calculated values
Density of states at the Fermi level: 5.73 states/eV/cell
Energy above the most stable polymorph in this dataset: 20 meV per atom

Structure (CIF):
```
data_CuGe2H
_cell_length_a 4.397
_cell_length_b 4.397
_cell_length_c 12.825
_cell_angle_alpha 90.00
_cell_angle_beta 90.00
_cell_angle_gamma 90.00
_space_group_name_H-M_alt 'I -4 2 d'
_space_group_IT_number 122
_space_group_name_Hall 'I -4 2bw'
loop_
_atom_site_label
_atom_site_fract_x
_atom_site_fract_y
_atom_site_fract_z
Cu1 0.000 0.000 0.000
Ge1 0.171 0.250 0.625
H1 0.000 0.000 0.500
```

***

A plane-wave DFT calculation with PBE was carried out for a relaxed Pb4SeBr crystal.

Calculated values
Density of states at the Fermi level: 23.17 states/eV/cell
ΔE_f (raw): 0.147 eV per atom

Structure (CIF):
```
data_Pb4SeBr
_cell_length_a 9.154
_cell_length_b 9.154
_cell_length_c 9.154
_cell_angle_alpha 90.00
_cell_angle_beta 90.00
_cell_angle_gamma 90.00
_space_group_name_H-M_alt 'F -4 3 m'
_space_group_IT_number 216
_space_group_name_Hall 'F -4 2 3'
loop_
_atom_site_label
_atom_site_fract_x
_atom_site_fract_y
_atom_site_fract_z
Pb1 0.125 0.125 0.125
Se1 0.250 0.250 0.750
Br1 0.000 0.000 0.500
```

***

A plane-wave DFT calculation with PBE was carried out for a relaxed Pr6NdY2Ho crystal.

Calculated values
Density of states at the Fermi level: 59.38 states/eV/cell
Formation energy: 1.139 eV per formula unit

Structure (CIF):
```
data_Pr6NdY2Ho
_cell_length_a 9.537
_cell_length_b 15.342
_cell_length_c 9.665
_cell_angle_alpha 90.00
_cell_angle_beta 96.19
_cell_angle_gamma 90.00
_space_group_name_H-M_alt 'C 1 2/c 1'
_space_group_IT_number 15
loop_
_space_group_symop_operation_xyz
'x,y,z'
'-x,-y,-z'
'-x,y,-z+1/2'
'x,-y,z+1/2'
'x+1/2,y+1/2,z'
'-x+1/2,-y+1/2,-z'
'-x+1/2,y+1/2,-z+1/2'
'x+1/2,-y+1/2,z+1/2'
loop_
_atom_site_label
_atom_site_fract_x
_atom_site_fract_y
_atom_site_fract_z
Pr1 0.063 0.174 0.442
Pr2 0.092 0.387 0.615
Pr3 0.219 0.222 0.814
Nd1 0.000 0.035 0.750
Y1 0.250 0.046 0.052
Ho1 0.000 0.411 0.250
```

***

A plane-wave DFT calculation with PBE was carried out for a relaxed Y2TlCl crystal.

Calculated values
Density of states at the Fermi level: 1.07 states/eV/cell
ΔE_f (raw): -0.776 eV per atom
Energy above the most stable polymorph in this dataset: 115 meV per atom

Structure (CIF):
```
data_Y2TlCl
_cell_length_a 4.272
_cell_length_b 4.272
_cell_length_c 5.965
_cell_angle_alpha 90.00
_cell_angle_beta 90.00
_cell_angle_gamma 90.00
_space_group_name_H-M_alt 'P 4/m m m'
_space_group_IT_number 123
_space_group_name_Hall '-P 4 2'
loop_
_atom_site_label
_atom_site_fract_x
_atom_site_fract_y
_atom_site_fract_z
Y1 0.000 0.000 0.000
Y2 0.500 0.500 0.500
Tl1 0.000 0.000 0.500
Cl1 0.500 0.500 0.000
```

***

A plane-wave DFT calculation with PBE was carried out for a relaxed Pm3Mg2Pb crystal.

Calculated values
Density of states at the Fermi level: 7.13 states/eV/cell
Energy above the most stable polymorph in this dataset: 31 meV per atom
Formation energy: -1.403 eV per formula unit

Structure (CIF):
```
data_Pm3Mg2Pb
_cell_length_a 3.894
_cell_length_b 3.894
_cell_length_c 11.582
_cell_angle_alpha 90.00
_cell_angle_beta 90.00
_cell_angle_gamma 90.00
_space_group_name_H-M_alt 'P 4/m m m'
_space_group_IT_number 123
_space_group_name_Hall '-P 4 2'
loop_
_atom_site_label
_atom_site_fract_x
_atom_site_fract_y
_atom_site_fract_z
Pm1 0.000 0.000 0.000
Pm2 0.000 0.000 0.329
Mg1 0.500 0.500 0.160
Pb1 0.500 0.500 0.500
```

***

A plane-wave DFT calculation with PBE was carried out for a relaxed Cd2Ga2Pt crystal.

Calculated values
Density of states at the Fermi level: 4.14 states/eV/cell
Energy above the most stable polymorph in this dataset: 270 meV per atom
Formation energy: 0.658 eV per formula unit

Structure (CIF):
```
data_Cd2Ga2Pt
_cell_length_a 7.152
_cell_length_b 7.152
_cell_length_c 4.035
_cell_angle_alpha 90.00
_cell_angle_beta 90.00
_cell_angle_gamma 90.00
_space_group_name_H-M_alt 'P 4/m b m'
_space_group_IT_number 127
_space_group_name_Hall '-P 4 2ab'
loop_
_atom_site_label
_atom_site_fract_x
_atom_site_fract_y
_atom_site_fract_z
Cd1 0.143 0.357 0.000
Ga1 0.168 0.668 0.500
Pt1 0.000 0.000 0.000
```

***

A plane-wave DFT calculation with PBE was carried out for a relaxed La3Tb4Tl2 crystal.

Calculated values
Density of states at the Fermi level: 49.93 states/eV/cell
Formation energy: -0.680 eV per formula unit

Structure (CIF):
```
data_La3Tb4Tl2
_cell_length_a 13.259
_cell_length_b 13.654
_cell_length_c 6.580
_cell_angle_alpha 90.00
_cell_angle_beta 95.56
_cell_angle_gamma 90.00
_space_group_name_H-M_alt 'C 1 2/c 1'
_space_group_IT_number 15
loop_
_space_group_symop_operation_xyz
'x,y,z'
'-x,-y,-z'
'-x,y,-z+1/2'
'x,-y,z+1/2'
'x+1/2,y+1/2,z'
'-x+1/2,-y+1/2,-z'
'-x+1/2,y+1/2,-z+1/2'
'x+1/2,-y+1/2,z+1/2'
loop_
_atom_site_label
_atom_site_fract_x
_atom_site_fract_y
_atom_site_fract_z
La1 0.000 0.033 0.250
La2 0.109 0.431 0.591
Tb1 0.107 0.283 0.084
Tb2 0.153 0.173 0.588
Tl1 0.207 0.075 0.036
```

***

A plane-wave DFT calculation with PBE was carried out for a relaxed Sm2TlOsO8 crystal.

Calculated values
Density of states at the Fermi level: 2.66 states/eV/cell
ΔE_f (raw): -1.898 eV per atom

Structure (CIF):
```
data_Sm2TlOsO8
_cell_length_a 4.853
_cell_length_b 4.860
_cell_length_c 7.348
_cell_angle_alpha 91.64
_cell_angle_beta 91.63
_cell_angle_gamma 93.62
_space_group_name_H-M_alt 'P -1'
_space_group_IT_number 2
loop_
_space_group_symop_operation_xyz
'x,y,z'
'-x,-y,-z'
loop_
_atom_site_label
_atom_site_fract_x
_atom_site_fract_y
_atom_site_fract_z
Sm1 0.048 0.048 0.256
Tl1 0.500 0.500 0.000
Os1 0.500 0.500 0.500
O1 0.195 0.196 0.978
O2 0.224 0.226 0.539
O3 0.276 0.642 0.307
O4 0.359 0.725 0.692
```

***

A plane-wave DFT calculation with PBE was carried out for a relaxed Th4MgSn15 crystal.

Calculated values
Density of states at the Fermi level: 15.48 states/eV/cell
Formation energy: -6.911 eV per formula unit

Structure (CIF):
```
data_Th4MgSn15
_cell_length_a 4.735
_cell_length_b 4.735
_cell_length_c 23.867
_cell_angle_alpha 90.00
_cell_angle_beta 90.00
_cell_angle_gamma 90.00
_space_group_name_H-M_alt 'P 4/m m m'
_space_group_IT_number 123
_space_group_name_Hall '-P 4 2'
loop_
_atom_site_label
_atom_site_fract_x
_atom_site_fract_y
_atom_site_fract_z
Th1 0.000 0.000 0.100
Th2 0.000 0.000 0.297
Mg1 0.000 0.000 0.500
Sn1 0.000 0.500 0.000
Sn2 0.000 0.500 0.199
Sn3 0.000 0.500 0.404
Sn4 0.500 0.500 0.100
Sn5 0.500 0.500 0.302
Sn6 0.500 0.500 0.500
```

***

A plane-wave DFT calculation with PBE was carried out for a relaxed Cs2NaNpI6 crystal.

Calculated values
Density of states at the Fermi level: 31.14 states/eV/cell
ΔE_f (raw): -1.233 eV per atom

Structure (CIF):
```
data_Cs2NaNpI6
_cell_length_a 8.6940
_cell_length_b 8.6940
_cell_length_c 45.2979
_cell_angle_alpha 90.00
_cell_angle_beta 90.00
_cell_angle_gamma 120.00
_space_group_name_H-M_alt 'R -3 m'
_space_group_IT_number 166
_space_group_name_Hall '-R 3 2"'
loop_
_atom_site_label
_atom_site_fract_x
_atom_site_fract_y
_atom_site_fract_z
Cs1 0.0000 0.0000 0.1274
Cs2 0.0000 0.0000 0.2981
Na1 0.0000 0.0000 0.4155
Np1 0.0000 0.0000 0.0000
Np2 0.0000 0.0000 0.5000
I1 0.0006 0.5003 0.8739
I2 0.0018 0.5009 0.7070
```

***

A plane-wave DFT calculation with PBE was carried out for a relaxed DyInSe3 crystal.

Calculated values
ΔE_f (raw): -1.122 eV per atom
Energy above the most stable polymorph in this dataset: 32 meV per atom

Structure (CIF):
```
data_DyInSe3
_cell_length_a 7.357
_cell_length_b 7.308
_cell_length_c 11.419
_cell_angle_alpha 90.00
_cell_angle_beta 113.13
_cell_angle_gamma 90.00
_space_group_name_H-M_alt 'P 1 21/c 1'
_space_group_IT_number 14
loop_
_space_group_symop_operation_xyz
'x,y,z'
'-x,-y,-z'
'-x,y+1/2,-z+1/2'
'x,-y+1/2,z+1/2'
loop_
_atom_site_label
_atom_site_fract_x
_atom_site_fract_y
_atom_site_fract_z
Dy1 0.007 0.113 0.185
In1 0.376 0.604 0.123
Se1 0.023 0.730 0.570
Se2 0.293 0.617 0.877
Se3 0.333 0.127 0.788
```

***

A plane-wave DFT calculation with PBE was carried out for a relaxed Sc2CrPb crystal.

Calculated values
Density of states at the Fermi level: 12.08 states/eV/cell
Formation energy: 1.178 eV per formula unit

Structure (CIF):
```
data_Sc2CrPb
_cell_length_a 3.2994
_cell_length_b 3.2994
_cell_length_c 29.6003
_cell_angle_alpha 90.00
_cell_angle_beta 90.00
_cell_angle_gamma 120.00
_space_group_name_H-M_alt 'R 3 m'
_space_group_IT_number 160
_space_group_name_Hall 'R 3 -2"'
loop_
_atom_site_label
_atom_site_fract_x
_atom_site_fract_y
_atom_site_fract_z
Sc1 0.0000 0.0000 0.0000
Sc2 0.0000 0.0000 0.2453
Cr1 0.0000 0.0000 0.7436
Pb1 0.0000 0.0000 0.4899
```

***

A plane-wave DFT calculation with PBE was carried out for a relaxed SrCa2MgS crystal.

Calculated values
Density of states at the Fermi level: 4.29 states/eV/cell
ΔE_f (raw): -0.755 eV per atom

Structure (CIF):
```
data_SrCa2MgS
_cell_length_a 5.441
_cell_length_b 5.441
_cell_length_c 5.893
_cell_angle_alpha 90.00
_cell_angle_beta 90.00
_cell_angle_gamma 90.00
_space_group_name_H-M_alt 'P 4/m m m'
_space_group_IT_number 123
_space_group_name_Hall '-P 4 2'
loop_
_atom_site_label
_atom_site_fract_x
_atom_site_fract_y
_atom_site_fract_z
Sr1 0.000 0.000 0.000
Ca1 0.000 0.500 0.500
Mg1 0.500 0.500 0.000
S1 0.000 0.000 0.500
```

***

A plane-wave DFT calculation with PBE was carried out for a relaxed MgTlRu crystal.

Calculated values
Density of states at the Fermi level: 4.69 states/eV/cell
Energy above the most stable polymorph in this dataset: 0 meV per atom
Formation energy: 0.626 eV per formula unit

Structure (CIF):
```
data_MgTlRu
_cell_length_a 3.379
_cell_length_b 3.379
_cell_length_c 9.599
_cell_angle_alpha 90.00
_cell_angle_beta 90.00
_cell_angle_gamma 90.00
_space_group_name_H-M_alt 'I 4 m m'
_space_group_IT_number 107
_space_group_name_Hall 'I 4 -2'
loop_
_atom_site_label
_atom_site_fract_x
_atom_site_fract_y
_atom_site_fract_z
Mg1 0.000 0.000 0.000
Tl1 0.000 0.000 0.306
Ru1 0.000 0.000 0.638
```

***

A plane-wave DFT calculation with PBE was carried out for a relaxed CsY2Ag2 crystal.

Calculated values
Density of states at the Fermi level: 8.02 states/eV/cell
Energy above the most stable polymorph in this dataset: 0 meV per atom
Formation energy: 0.477 eV per formula unit

Structure (CIF):
```
data_CsY2Ag2
_cell_length_a 9.133
_cell_length_b 9.133
_cell_length_c 3.505
_cell_angle_alpha 90.00
_cell_angle_beta 90.00
_cell_angle_gamma 90.00
_space_group_name_H-M_alt 'P 4/m b m'
_space_group_IT_number 127
_space_group_name_Hall '-P 4 2ab'
loop_
_atom_site_label
_atom_site_fract_x
_atom_site_fract_y
_atom_site_fract_z
Cs1 0.000 0.000 0.000
Y1 0.133 0.367 0.000
Ag1 0.155 0.655 0.500
```

***

A plane-wave DFT calculation with PBE was carried out for a relaxed P2H6I crystal.

Calculated values
Raw total energy: -3.581 eV/atom
Density of states at the Fermi level: 2.90 states/eV/cell

Structure (CIF):
```
data_P2H6I
_cell_length_a 8.962
_cell_length_b 14.010
_cell_length_c 5.995
_cell_angle_alpha 90.00
_cell_angle_beta 127.25
_cell_angle_gamma 90.00
_space_group_name_H-M_alt 'C 1 2/c 1'
_space_group_IT_number 15
loop_
_space_group_symop_operation_xyz
'x,y,z'
'-x,-y,-z'
'-x,y,-z+1/2'
'x,-y,z+1/2'
'x+1/2,y+1/2,z'
'-x+1/2,-y+1/2,-z'
'-x+1/2,y+1/2,-z+1/2'
'x+1/2,-y+1/2,z+1/2'
loop_
_atom_site_label
_atom_site_fract_x
_atom_site_fract_y
_atom_site_fract_z
P1 0.123 0.108 0.020
H1 0.199 0.193 0.998
H2 0.225 0.117 0.331
H3 0.244 0.455 0.960
I1 0.000 0.360 0.250
```

***

A plane-wave DFT calculation with PBE was carried out for a relaxed Sm5Gd3Dy12 crystal.

Calculated values
Density of states at the Fermi level: 294.47 states/eV/cell
Formation energy: 20.660 eV per formula unit

Structure (CIF):
```
data_Sm5Gd3Dy12
_cell_length_a 18.782
_cell_length_b 18.782
_cell_length_c 18.782
_cell_angle_alpha 90.00
_cell_angle_beta 90.00
_cell_angle_gamma 90.00
_space_group_name_H-M_alt 'I a -3 d'
_space_group_IT_number 230
_space_group_name_Hall '-I 4bd 2c 3'
loop_
_atom_site_label
_atom_site_fract_x
_atom_site_fract_y
_atom_site_fract_z
Sm1 0.000 0.000 0.000
Sm2 0.000 0.250 0.375
Gd1 0.000 0.250 0.125
Dy1 0.005 0.081 0.647
```

***

A plane-wave DFT calculation with PBE was carried out for a relaxed BeAuCl2 crystal.

Calculated values
Density of states at the Fermi level: 2.11 states/eV/cell
ΔE_f (raw): -0.405 eV per atom
Energy above the most stable polymorph in this dataset: 230 meV per atom

Structure (CIF):
```
data_BeAuCl2
_cell_length_a 2.965
_cell_length_b 5.735
_cell_length_c 11.788
_cell_angle_alpha 90.00
_cell_angle_beta 90.00
_cell_angle_gamma 90.00
_space_group_name_H-M_alt 'I m m m'
_space_group_IT_number 71
_space_group_name_Hall '-I 2 2'
loop_
_atom_site_label
_atom_site_fract_x
_atom_site_fract_y
_atom_site_fract_z
Be1 0.000 0.000 0.000
Au1 0.000 0.000 0.500
Cl1 0.000 0.500 0.374
```

***

A plane-wave DFT calculation with PBE was carried out for a relaxed NpVFeTc crystal.

Calculated values
Density of states at the Fermi level: 24.47 states/eV/cell
Formation energy: 0.595 eV per formula unit

Structure (CIF):
```
data_NpVFeTc
_cell_length_a 6.280
_cell_length_b 6.280
_cell_length_c 6.280
_cell_angle_alpha 90.00
_cell_angle_beta 90.00
_cell_angle_gamma 90.00
_space_group_name_H-M_alt 'F -4 3 m'
_space_group_IT_number 216
_space_group_name_Hall 'F -4 2 3'
loop_
_atom_site_label
_atom_site_fract_x
_atom_site_fract_y
_atom_site_fract_z
Np1 0.000 0.000 0.000
V1 0.000 0.000 0.500
Fe1 0.250 0.250 0.750
Tc1 0.250 0.250 0.250
```